A plane-wave DFT calculation with PBE+U was carried out for an optimized crystal structure of VAuO2F.

Summary:
- SG = P4/mmm
- VASP energy (eV/atom) = -4.592

Cell: 4.058 4.058 4.457 Å, 90.00 90.00 90.00°
Fractional positions:
V 0.000 0.000 0.000
Au 0.500 0.500 0.500
O 0.000 0.500 0.500
O 0.500 0.000 0.500
F 0.500 0.500 0.000